1.
DFT (meta-GGA SCAN) results for a PBEsol-optimized structure of SiWI2.

a = 4.8418 Å, b = 4.8418 Å, c = 4.8418 Å
α = 60.00°, β = 60.00°, γ = 60.00°
With the nearest neighbours (Å) after each atom.
Fractional positions:
1 I 0.2500 0.2500 0.2500  4 W 2.96, 4 Si 2.96
2 I 0.7500 0.7500 0.7500  4 W 2.96, 4 Si 2.96
3 Si 0.0000 0.0000 0.0000  8 I 2.96
4 W 0.5000 0.5000 0.5000  8 I 2.96

## Properties
Total energy in eV per atom: -36.75
Magnetic moment in μB per cell: 0.000
Calculated volume in Å³/cell: 80

=====

2.
DFT (meta-GGA SCAN) results for a PBEsol-optimized structure of CrTe2W2.

a = 5.1096 Å, b = 5.5492 Å, c = 5.1096 Å
α = 62.59°, β = 90.00°, γ = 117.41°
With the nearest neighbours (Å) after each atom.
Fractional positions:
1 Cr 0.0000 0.0000 0.0000  2 W 3.07, 8 Te 3.31
2 Te 0.7500 0.5000 0.7500  4 W 2.73
3 Te 0.2500 0.5000 0.2500  4 W 2.73
4 W 0.6355 0.2709 0.3645  1 W 2.28
5 W 0.3645 0.7291 0.6355  1 W 2.28

## Properties
Total energy in eV per atom: -45.57
Magnetic moment in μB per cell: 3.958
Calculated volume in Å³/cell: 110

=====

3.
DFT (meta-GGA SCAN) results for a PBEsol-optimized structure of CeZn2Au4.

a = 5.2656 Å, b = 5.5417 Å, c = 5.5417 Å
α = 76.96°, β = 61.64°, γ = 61.64°
With the nearest neighbours (Å) after each atom.
Fractional positions:
1 Zn 0.2500 0.5000 0.5000  2 Zn 2.63, 8 Au 2.82
2 Zn 0.7500 0.5000 0.5000  2 Zn 2.63, 8 Au 2.82
3 Au 0.6989 0.6023 0.0000  4 Au 2.74-2.82, 4 Zn 2.82, 1 Ce 2.94
4 Au 0.3011 0.3977 0.0000  4 Au 2.74-2.82, 4 Zn 2.82, 1 Ce 2.94
5 Au 0.3011 0.0000 0.3977  4 Au 2.74-2.82, 4 Zn 2.82, 1 Ce 2.94
6 Au 0.6989 0.0000 0.6023  4 Au 2.74-2.82, 4 Zn 2.82, 1 Ce 2.94
7 Ce 0.0000 0.0000 0.0000  12 Au 2.94-3.27

## Properties
Energy of formation in eV/atom: -0.60
Magnetic moment in μB per cell: 0.922
Calculated volume in Å³/cell: 125

=====

4.
DFT (meta-GGA SCAN) results for a PBEsol-optimized structure of Pr2Co7B3.

a = 5.0703 Å, b = 5.0703 Å, c = 12.5715 Å
α = 90.00°, β = 90.00°, γ = 120.00°
With the nearest neighbours (Å) after each atom.
Fractional positions:
1 Pr 0.0000 0.0000 0.2596  12 Co 2.85-2.98, 6 B 2.93, 1 Pr 3.02
2 Pr 0.0000 0.0000 0.7404  12 Co 2.85-2.98, 6 B 2.93, 1 Pr 3.02
3 Pr 0.0000 0.0000 0.5000  12 Co 2.92, 6 B 2.93, 2 Pr 3.02
4 Pr 0.0000 0.0000 0.0000  18 Co 2.93-3.20, 2 Pr 3.26
5 Co 0.5000 0.5000 0.8445  2 B 2.04
6 Co 0.0000 0.5000 0.1555  2 B 2.04
7 Co 0.5000 0.5000 0.1555  2 B 2.04
8 Co 0.5000 0.0000 0.8445  2 B 2.04
9 Co 0.0000 0.5000 0.6154  4 B 2.06-2.07
10 Co 0.5000 0.5000 0.6154  4 B 2.06-2.07
11 Co 0.5000 0.0000 0.6154  4 B 2.06-2.07
12 Co 0.0000 0.5000 0.3846  4 B 2.06-2.07
13 Co 0.5000 0.5000 0.3846  4 B 2.06-2.07
14 Co 0.5000 0.0000 0.3846  4 B 2.06-2.07
15 Co 0.3333 0.6667 0.0000  6 Co 2.44
16 Co 0.6667 0.3333 0.0000  6 Co 2.44
17 Co 0.5000 0.0000 0.1555  2 B 2.04
18 Co 0.0000 0.5000 0.8445  2 B 2.04
19 B 0.3333 0.6667 0.2682  6 Co 2.04-2.07
20 B 0.6667 0.3333 0.2682  6 Co 2.04-2.07
21 B 0.6667 0.3333 0.7318  6 Co 2.04-2.07
22 B 0.3333 0.6667 0.7318  6 Co 2.04-2.07
23 B 0.6667 0.3333 0.5000  6 Co 2.06
24 B 0.3333 0.6667 0.5000  6 Co 2.06

## Properties
Energy of formation in eV/atom: -0.20
Magnetic moment in μB per cell: 10.068
Calculated volume in Å³/cell: 280